Here is a relaxed LaSm2Co2B2N3 crystal from OQMD via LeMat-Bulk. Energies are from GGA-PBE.

a b c (Å): 3.613 3.613 20.141
angles (deg): 90.00 90.00 90.00
Space group I4/mmm (No. 139)
Inequivalent atoms, fractional coordinates:
La 0.000 0.000 0.000 x2
Sm 0.000 0.000 0.370 x4
Co 0.000 0.500 0.250 x4
B 0.000 0.000 0.199 x4
N 0.000 0.000 0.125 x4
N 0.000 0.000 0.500 x2

Calculated values
As for the magnetization: 0.02 μB per formula unit. As for the mass density: 7.85 g/cm³. The raw total energy comes out at -77.5 eV per formula unit.

Here is a relaxed LaTb2Co2B2N3 crystal from OQMD via LeMat-Bulk. Energies are from GGA-PBE.

a b c (Å): 3.554 3.554 20.263
angles (deg): 90.00 90.00 90.00
Space group I4/mmm (No. 139)
Inequivalent atoms, fractional coordinates:
La 0.000 0.000 0.000 x2
Tb 0.000 0.000 0.371 x4
Co 0.000 0.500 0.250 x4
B 0.000 0.000 0.197 x4
N 0.000 0.000 0.123 x4
N 0.000 0.000 0.500 x2

Calculated values
As for the magnetization: 0.00 μB per formula unit. As for the mass density: 8.28 g/cm³. The raw total energy comes out at -77.8 eV per formula unit.

Here is a relaxed LaTm2Co2B2N3 crystal from OQMD via LeMat-Bulk. Energies are from GGA-PBE.

a b c (Å): 3.506 3.506 20.251
angles (deg): 90.00 90.00 90.00
Space group I4/mmm (No. 139)
Inequivalent atoms, fractional coordinates:
La 0.000 0.000 0.000 x2
Tm 0.000 0.000 0.371 x4
Co 0.000 0.500 0.250 x4
B 0.000 0.000 0.197 x4
N 0.000 0.000 0.123 x4
N 0.000 0.000 0.500 x2

Calculated values
As for the magnetization: 0.01 μB per formula unit. As for the mass density: 8.78 g/cm³. The raw total energy comes out at -77.6 eV per formula unit.

Here is a relaxed La2YCo2B2N3 crystal from OQMD via LeMat-Bulk. Energies are from GGA-PBE.

a b c (Å): 3.661 3.661 19.692
angles (deg): 90.00 90.00 90.00
Space group I4/mmm (No. 139)
Inequivalent atoms, fractional coordinates:
La 0.000 0.000 0.129 x4
Y 0.000 0.000 0.500 x2
Co 0.000 0.500 0.250 x4
B 0.000 0.000 0.303 x4
N 0.000 0.000 0.000 x2
N 0.000 0.000 0.379 x4

Calculated values
As for the magnetization: 0.00 μB per formula unit. As for the mass density: 6.90 g/cm³. The raw total energy comes out at -79.5 eV per formula unit.

What is the magnetization in the second record?
0.00 μB per formula unit

Which value of mass density does entry 1 give?
7.85 g/cm³